Here is an optimized crystal structure of SmCrO4 from Alexandria. Energies are from PBE+U.

Summary:
The calculated total energy is -7.6546 eV per atom. As for the magnetic moment: 0.1667 μB/atom. Its space-group type is Fddd (70).

Geometry as extended XYZ:
```
12
Lattice="6.055 0.005 0.000 -2.681 5.429 0.000 -1.687 -2.717 5.227" Properties=species:S:1:pos:R:3 pbc="T T T"
Cr -0.670 1.357 3.920
Cr 2.357 1.360 1.307
O -2.090 0.931 4.803
O 2.605 -0.102 2.190
O -0.918 2.819 3.037
O 0.750 1.784 4.803
O -0.423 -0.104 3.037
O 2.110 2.821 2.190
O 0.938 0.933 0.424
O 3.777 1.786 0.424
Sm -2.011 4.072 1.307
Sm 3.698 -1.355 3.920
```